The following is a DFT calculation (GGA-PBE) of a relaxed ErScTl crystal.

a = 5.0492 Å, b = 5.0492 Å, c = 3.6160 Å
α = 90.00°, β = 90.00°, γ = 120.00°
With the nearest neighbours (Å) after each atom.
Space group P3m1 (No. 156)
Symmetry-distinct sites (fractional):
Er1 0.0000 0.0000 0.0000 (multiplicity 1)  6 Tl 3.43, 6 Sc 3.43, 2 Er 3.62
Sc1 0.6667 0.3333 0.5002 (multiplicity 1)  3 Tl 2.92
Tl1 0.3333 0.6667 0.4987 (multiplicity 1)  3 Sc 2.92

The calculation puts the formation energy at -46 kJ/mol of formula units. For the density, the calculation gives 8.7 Mg/m³. For the total DFT energy (no corrections), the calculation gives -4.5788 eV per atom.